--- 1 ---
The following is a DFT calculation (PBE) of a relaxed structure of AlIr3I. Values from VASP.

Computed properties:
**ρ**: 12.52 g/cm3
**Size of the total moment**: 1.7 μB/f.u.

Structure (Quantum ESPRESSO input):
```
&SYSTEM
  ibrav = 0, nat = 5, ntyp = 3
/
ATOMIC_SPECIES
I 126.90 I.upf
Ir 192.22 Ir.upf
Al 26.98 Al.upf
ATOMIC_POSITIONS angstrom
I -3.231 -2.036 -1.111
Ir -1.911 -0.239 1.250
Al 0.000 0.000 0.000
Ir -0.048 -2.241 -0.501
Ir -1.272 0.443 -1.860
CELL_PARAMETERS angstrom
-2.544 0.886 -3.720
-0.096 -4.481 -1.002
-3.823 -0.477 2.500
```

***

--- 2 ---
The following is a DFT calculation (PBE) of a relaxed structure of AlIr3I. Values from VASP.

Computed properties:
**ρ**: 10.60 g/cm3
**Size of the total moment**: 0.0 μB/f.u.

Structure (Quantum ESPRESSO input):
```
&SYSTEM
  ibrav = 0, nat = 5, ntyp = 3
/
ATOMIC_SPECIES
I 126.90 I.upf
Ir 192.22 Ir.upf
Al 26.98 Al.upf
ATOMIC_POSITIONS angstrom
I 0.000 0.000 0.000
Ir -1.043 -1.443 1.650
Ir -2.146 0.301 -1.094
Ir -0.446 1.928 1.405
Al -3.635 0.786 1.961
CELL_PARAMETERS angstrom
-4.292 0.602 -2.187
-2.086 -2.887 3.299
-0.892 3.857 2.811
```

***

Verdict on stability: 2 comes out at the bottom.

***

--- 1 ---
The following is a DFT calculation (PBE) of a relaxed structure of AlIrI2O. Values from VASP.

Computed properties:
**ρ**: 6.57 g/cm3
**Size of the total moment**: 0.0 μB/f.u.

Structure (Quantum ESPRESSO input):
```
&SYSTEM
  ibrav = 0, nat = 5, ntyp = 4
/
ATOMIC_SPECIES
Al 26.98 Al.upf
O 16.00 O.upf
I 126.90 I.upf
Ir 192.22 Ir.upf
ATOMIC_POSITIONS angstrom
Al -2.168 -0.133 3.904
O 0.557 1.282 1.260
I -2.736 0.596 0.603
I 0.011 -2.011 2.040
Ir 0.000 0.000 0.000
CELL_PARAMETERS angstrom
-5.472 1.193 1.206
0.023 -4.022 4.081
1.115 2.564 2.521
```

***

--- 2 ---
The following is a DFT calculation (PBE) of a relaxed structure of AlIrI2O. Values from VASP.

Computed properties:
**ρ**: 7.95 g/cm3
**Size of the total moment**: 0.0 μB/f.u.

Structure (Quantum ESPRESSO input):
```
&SYSTEM
  ibrav = 0, nat = 5, ntyp = 4
/
ATOMIC_SPECIES
O 16.00 O.upf
Ir 192.22 Ir.upf
I 126.90 I.upf
Al 26.98 Al.upf
ATOMIC_POSITIONS angstrom
O -1.533 -0.499 0.504
Ir -2.883 0.003 -3.108
I -0.216 -1.589 -2.233
Al 0.000 0.000 0.000
I -1.134 2.091 -1.378
CELL_PARAMETERS angstrom
-2.269 4.182 -2.756
-0.432 -3.178 -4.466
-3.065 -0.999 1.008
```

***

Verdict on stability: 1 comes out at the bottom.

***

--- 1 ---
The following is a DFT calculation (PBE) of a relaxed structure of AlTe2IrI. Values from VASP.

Computed properties:
**ρ**: 6.42 g/cm3
**Size of the total moment**: 0.0 μB/f.u.

Structure (Quantum ESPRESSO input):
```
&SYSTEM
  ibrav = 0, nat = 5, ntyp = 4
/
ATOMIC_SPECIES
Ir 192.22 Ir.upf
Te 127.60 Te.upf
I 126.90 I.upf
Al 26.98 Al.upf
ATOMIC_POSITIONS angstrom
Ir 0.000 0.000 0.000
Te 0.000 2.618 0.000
I 0.000 0.000 2.837
Al 2.618 2.618 2.837
Te 2.618 0.000 0.000
CELL_PARAMETERS angstrom
5.236 0.000 0.000
0.000 5.236 0.000
0.000 0.000 5.674
```

***

--- 2 ---
The following is a DFT calculation (PBE) of a relaxed structure of AlTe2IrI. Values from VASP.

Computed properties:
**ρ**: 6.92 g/cm3
**Size of the total moment**: 2.1 μB/f.u.

Structure (Quantum ESPRESSO input):
```
&SYSTEM
  ibrav = 0, nat = 5, ntyp = 4
/
ATOMIC_SPECIES
Te 127.60 Te.upf
Al 26.98 Al.upf
I 126.90 I.upf
Ir 192.22 Ir.upf
ATOMIC_POSITIONS angstrom
Te 2.285 0.556 -1.187
Al 0.000 0.000 0.000
I 1.019 -2.202 0.931
Ir 2.498 -2.931 -2.410
Te -0.807 -1.285 -2.154
CELL_PARAMETERS angstrom
-1.614 -2.569 -4.308
4.571 1.111 -2.375
2.038 -4.404 1.863
```

***

Verdict on stability: 2 comes out at the bottom.

***

--- 1 ---
The following is a DFT calculation (PBE) of a relaxed structure of KAl3I. Values from VASP.

Computed properties:
**ρ**: 1.75 g/cm3
**Size of the total moment**: 0.0 μB/f.u.

Structure (Quantum ESPRESSO input):
```
&SYSTEM
  ibrav = 0, nat = 5, ntyp = 3
/
ATOMIC_SPECIES
Al 26.98 Al.upf
I 126.90 I.upf
K 39.10 K.upf
ATOMIC_POSITIONS angstrom
Al 0.000 3.081 0.000
Al 3.081 0.000 0.000
I 3.081 3.081 3.081
Al 0.000 0.000 3.081
K 0.000 0.000 0.000
CELL_PARAMETERS angstrom
6.163 0.000 0.000
0.000 6.163 0.000
0.000 0.000 6.163
```

***

--- 2 ---
The following is a DFT calculation (PBE) of a relaxed structure of KAl3I. Values from VASP.

Computed properties:
**ρ**: 1.91 g/cm3
**Size of the total moment**: 0.0 μB/f.u.

Structure (Quantum ESPRESSO input):
```
&SYSTEM
  ibrav = 0, nat = 5, ntyp = 3
/
ATOMIC_SPECIES
I 126.90 I.upf
Al 26.98 Al.upf
K 39.10 K.upf
ATOMIC_POSITIONS angstrom
I 0.000 0.000 0.000
Al 0.000 2.995 0.000
Al 2.995 0.000 0.000
Al 0.000 0.000 2.995
K 2.995 2.995 2.995
CELL_PARAMETERS angstrom
5.989 0.000 0.000
0.000 5.989 0.000
0.000 0.000 5.989
```

***

Verdict on stability: 1 comes out at the bottom.

***

--- 1 ---
The following is a DFT calculation (PBE) of a relaxed structure of K2AlI. Values from VASP.

Computed properties:
**ρ**: 2.17 g/cm3
**Size of the total moment**: 0.0 μB/f.u.

Structure (Quantum ESPRESSO input):
```
&SYSTEM
  ibrav = 0, nat = 8, ntyp = 3
/
ATOMIC_SPECIES
I 126.90 I.upf
Al 26.98 Al.upf
K 39.10 K.upf
ATOMIC_POSITIONS angstrom
I 0.000 0.000 0.000
Al -4.825 -4.630 1.049
Al -6.625 -8.392 -1.997
K -5.195 -8.998 1.269
K -4.813 -5.303 -2.504
K -10.199 -13.765 2.156
I -5.246 -8.327 4.630
K -3.535 -5.371 4.345
CELL_PARAMETERS angstrom
-3.446 -4.565 7.676
-6.203 -4.695 -5.577
-2.222 -7.459 0.535
```

***

--- 2 ---
The following is a DFT calculation (PBE) of a relaxed structure of K2AlI. Values from VASP.

Computed properties:
**ρ**: 2.34 g/cm3
**Size of the total moment**: 2.0 μB/f.u.

Structure (Quantum ESPRESSO input):
```
&SYSTEM
  ibrav = 0, nat = 4, ntyp = 3
/
ATOMIC_SPECIES
I 126.90 I.upf
K 39.10 K.upf
Al 26.98 Al.upf
ATOMIC_POSITIONS angstrom
I 4.352 4.352 4.352
K 2.176 2.176 2.176
K 6.527 6.527 6.527
Al 0.000 0.000 0.000
CELL_PARAMETERS angstrom
0.000 4.352 4.352
4.352 0.000 4.352
4.352 4.352 0.000
```

***

Verdict on stability: 2 comes out at the bottom.

***

--- 1 ---
The following is a DFT calculation (PBE) of a relaxed structure of KAlIN2. Values from VASP.

Computed properties:
**ρ**: 3.53 g/cm3
**Size of the total moment**: 3.0 μB/f.u.

Structure (Quantum ESPRESSO input):
```
&SYSTEM
  ibrav = 0, nat = 5, ntyp = 4
/
ATOMIC_SPECIES
I 126.90 I.upf
Al 26.98 Al.upf
K 39.10 K.upf
N 14.01 N.upf
ATOMIC_POSITIONS angstrom
I 0.000 0.000 2.924
Al 0.000 0.000 0.000
K 2.107 2.107 2.924
N 0.000 2.107 0.000
N 2.107 0.000 0.000
CELL_PARAMETERS angstrom
4.214 0.000 0.000
0.000 4.214 0.000
0.000 0.000 5.847
```

***

--- 2 ---
The following is a DFT calculation (PBE) of a relaxed structure of KAlIN2. Values from VASP.

Computed properties:
**ρ**: 1.95 g/cm3
**Size of the total moment**: 5.0 μB/f.u.

Structure (Quantum ESPRESSO input):
```
&SYSTEM
  ibrav = 0, nat = 5, ntyp = 4
/
ATOMIC_SPECIES
N 14.01 N.upf
Al 26.98 Al.upf
I 126.90 I.upf
K 39.10 K.upf
ATOMIC_POSITIONS angstrom
N -2.275 -1.019 -0.705
Al -4.192 0.898 2.709
I -1.633 2.922 1.044
K 0.000 0.000 0.000
N -0.284 -1.005 2.370
CELL_PARAMETERS angstrom
-4.549 -2.038 -1.410
-0.568 -2.011 4.741
-3.266 5.845 2.088
```

***

Verdict on stability: 2 comes out at the bottom.

***

--- 1 ---
The following is a DFT calculation (PBE) of a relaxed structure of LaAlI2. Values from VASP.

Computed properties:
**ρ**: 4.89 g/cm3
**Size of the total moment**: 0.0 μB/f.u.

Structure (Quantum ESPRESSO input):
```
&SYSTEM
  ibrav = 0, nat = 8, ntyp = 3
/
ATOMIC_SPECIES
La 138.91 La.upf
I 126.90 I.upf
Al 26.98 Al.upf
ATOMIC_POSITIONS angstrom
La 8.797 4.398 1.842
I 2.228 6.598 0.921
I 6.598 6.627 2.764
La 0.000 0.000 0.000
I 6.569 2.199 0.921
I 10.996 10.967 2.764
Al 4.398 4.398 0.000
Al 4.398 8.797 1.842
CELL_PARAMETERS angstrom
8.797 0.000 0.000
0.000 8.797 0.000
4.398 4.398 3.685
```

***

--- 2 ---
The following is a DFT calculation (PBE) of a relaxed structure of LaAlI2. Values from VASP.

Computed properties:
**ρ**: 5.54 g/cm3
**Size of the total moment**: 1.6 μB/f.u.

Structure (Quantum ESPRESSO input):
```
&SYSTEM
  ibrav = 0, nat = 4, ntyp = 3
/
ATOMIC_SPECIES
I 126.90 I.upf
La 138.91 La.upf
Al 26.98 Al.upf
ATOMIC_POSITIONS angstrom
I 1.989 1.989 1.989
I 5.967 5.967 5.967
La 3.978 3.978 3.978
Al 0.000 0.000 0.000
CELL_PARAMETERS angstrom
0.000 3.978 3.978
3.978 0.000 3.978
3.978 3.978 0.000
```

***

Verdict on stability: 1 comes out at the bottom.

***

--- 1 ---
The following is a DFT calculation (PBE) of a relaxed structure of LaAlIN2. Values from VASP.

Computed properties:
**ρ**: 4.01 g/cm3
**Size of the total moment**: 0.5 μB/f.u.

Structure (Quantum ESPRESSO input):
```
&SYSTEM
  ibrav = 0, nat = 5, ntyp = 4
/
ATOMIC_SPECIES
N 14.01 N.upf
La 138.91 La.upf
Al 26.98 Al.upf
I 126.90 I.upf
ATOMIC_POSITIONS angstrom
N 2.214 0.000 0.000
N 0.000 2.214 0.000
La 0.000 0.000 0.000
Al 2.214 2.214 3.386
I 0.000 0.000 3.386
CELL_PARAMETERS angstrom
4.429 0.000 0.000
0.000 4.429 0.000
0.000 0.000 6.771
```

***

--- 2 ---
The following is a DFT calculation (PBE) of a relaxed structure of LaAlIN2. Values from VASP.

Computed properties:
**ρ**: 5.82 g/cm3
**Size of the total moment**: 0.7 μB/f.u.

Structure (Quantum ESPRESSO input):
```
&SYSTEM
  ibrav = 0, nat = 5, ntyp = 4
/
ATOMIC_SPECIES
I 126.90 I.upf
N 14.01 N.upf
La 138.91 La.upf
Al 26.98 Al.upf
ATOMIC_POSITIONS angstrom
I 0.000 0.000 2.613
N 2.094 0.000 0.000
La 2.094 2.094 2.613
Al 0.000 0.000 0.000
N 0.000 2.094 0.000
CELL_PARAMETERS angstrom
4.187 0.000 0.000
0.000 4.187 0.000
0.000 0.000 5.225
```

***

Verdict on stability: 1 comes out at the bottom.